[1]
## La2IrCCl (PBE)

Data for crystalline La2IrCCl at its relaxed geometry.

Cell and atoms, written as CIF:
```
data_La2IrCCl
_chemical_formula_sum 'La2 Ir1 C1 Cl1'
_symmetry_space_group_name_H-M 'P 4/m m m'
_symmetry_Int_Tables_number 123
_symmetry_space_group_name_Hall '-P 4 2'
_cell_length_a 5.355
_cell_length_b 5.355
_cell_length_c 3.869
_cell_angle_alpha 90.00
_cell_angle_beta 90.00
_cell_angle_gamma 90.00
loop_
_atom_site_label
_atom_site_type_symbol
_atom_site_fract_x
_atom_site_fract_y
_atom_site_fract_z
_atom_site_occupancy
La1 La 0.000 0.500 0.000 1
Ir1 Ir 0.000 0.000 0.500 1
C1 C 0.000 0.000 0.000 1
Cl1 Cl 0.500 0.500 0.500 1
```

Summary:
As for the total energy: -6.80 eV/atom. As for the formation energy without anion corrections: -0.838 eV per atom. The total magnetic moment is 0.000 μB per atom.


[2]
## Sc3AgN (PBE)

Data for crystalline Sc3AgN at its relaxed geometry.

Cell and atoms, written as CIF:
```
data_Sc3AgN
_chemical_formula_sum 'Sc12 Ag4 N4'
_symmetry_space_group_name_H-M 'C 1 2/m 1'
_symmetry_Int_Tables_number 12
_cell_length_a 12.290
_cell_length_b 3.246
_cell_length_c 9.544
_cell_angle_alpha 90.00
_cell_angle_beta 107.73
_cell_angle_gamma 90.00
loop_
_symmetry_equiv_pos_as_xyz
'x,y,z'
'-x,-y,-z'
'-x,y,-z'
'x,-y,z'
'x+1/2,y+1/2,z'
'-x+1/2,-y+1/2,-z'
'-x+1/2,y+1/2,-z'
'x+1/2,-y+1/2,z'
loop_
_atom_site_label
_atom_site_type_symbol
_atom_site_fract_x
_atom_site_fract_y
_atom_site_fract_z
_atom_site_occupancy
Sc1 Sc 0.037 0.000 0.359 1
Sc2 Sc 0.115 0.500 0.128 1
Sc3 Sc 0.209 0.500 0.615 1
Ag1 Ag 0.151 0.000 0.890 1
N1 N 0.160 0.500 0.367 1
```

Summary:
As for the total energy: -6.79 eV/atom. As for the formation energy without anion corrections: -0.753 eV per atom. The total magnetic moment is 0.061 μB per atom. As for the energy above the most stable polymorph in this dataset: 0.166 eV/atom.


[3]
## SrY2Be (PBE)

Data for crystalline SrY2Be at its relaxed geometry.

Cell and atoms, written as CIF:
```
data_SrY2Be
_chemical_formula_sum 'Sr2 Y4 Be2'
_symmetry_space_group_name_H-M 'I -4 m 2'
_symmetry_Int_Tables_number 119
_symmetry_space_group_name_Hall 'I -4 -2'
_cell_length_a 4.851
_cell_length_b 4.851
_cell_length_c 9.751
_cell_angle_alpha 90.00
_cell_angle_beta 90.00
_cell_angle_gamma 90.00
loop_
_atom_site_label
_atom_site_type_symbol
_atom_site_fract_x
_atom_site_fract_y
_atom_site_fract_z
_atom_site_occupancy
Sr1 Sr 0.000 0.000 0.000 1
Y1 Y 0.000 0.000 0.500 1
Y2 Y 0.000 0.500 0.750 1
Be1 Be 0.000 0.500 0.250 1
```

Summary:
As for the total energy: -4.08 eV/atom. The formation enthalpy at 0 K is 0.50 eV/atom. The total magnetic moment is 0.000 μB per atom.


[4]
## Ti7Co2Sn (PBE)

Data for crystalline Ti7Co2Sn at its relaxed geometry.

Cell and atoms, written as CIF:
```
data_Ti7Co2Sn
_chemical_formula_sum 'Ti14 Co4 Sn2'
_symmetry_space_group_name_H-M 'C m m m'
_symmetry_Int_Tables_number 65
_symmetry_space_group_name_Hall '-C 2 2'
_cell_length_a 7.436
_cell_length_b 11.708
_cell_length_c 4.399
_cell_angle_alpha 90.00
_cell_angle_beta 90.00
_cell_angle_gamma 90.00
loop_
_atom_site_label
_atom_site_type_symbol
_atom_site_fract_x
_atom_site_fract_y
_atom_site_fract_z
_atom_site_occupancy
Ti1 Ti 0.000 0.000 0.000 1
Ti2 Ti 0.000 0.230 0.500 1
Ti3 Ti 0.191 0.373 0.000 1
Co1 Co 0.000 0.202 0.000 1
Sn1 Sn 0.000 0.500 0.500 1
```

Summary:
As for the total energy: -7.14 eV/atom. The formation enthalpy at 0 K is 0.21 eV/atom. The total magnetic moment is 0.191 μB per atom.


[5]
## AcNdGa (PBE)

Data for crystalline AcNdGa at its relaxed geometry.

Cell and atoms, written as CIF:
```
data_AcNdGa
_chemical_formula_sum 'Ac1 Nd1 Ga1'
_symmetry_space_group_name_H-M 'P 3 m 1'
_symmetry_Int_Tables_number 156
_cell_length_a 3.9269
_cell_length_b 3.9269
_cell_length_c 7.7295
_cell_angle_alpha 90.00
_cell_angle_beta 90.00
_cell_angle_gamma 120.00
loop_
_symmetry_equiv_pos_as_xyz
'x,y,z'
'-y,x-y,z'
'-x+y,-x,z'
'-y,-x,z'
'-x+y,y,z'
'x,x-y,z'
loop_
_atom_site_label
_atom_site_type_symbol
_atom_site_fract_x
_atom_site_fract_y
_atom_site_fract_z
_atom_site_occupancy
Ac1 Ac 0.0000 0.0000 0.0000 1
Nd1 Nd 0.6667 0.3333 0.4287 1
Ga1 Ga 0.3333 0.6667 0.6989 1
```

Summary:
As for the total energy: -4.12 eV/atom. The formation enthalpy at 0 K is -0.16 eV/atom. The total magnetic moment is 0.143 μB per atom. As for the energy above the most stable polymorph in this dataset: 0.191 eV/atom.


[6]
## Ni3Rh2 (PBE)

Data for crystalline Ni3Rh2 at its relaxed geometry.

Cell and atoms, written as CIF:
```
data_Ni3Rh2
_chemical_formula_sum 'Ni12 Rh8'
_symmetry_space_group_name_H-M 'P b c n'
_symmetry_Int_Tables_number 60
_cell_length_a 4.800
_cell_length_b 6.677
_cell_length_c 7.911
_cell_angle_alpha 90.00
_cell_angle_beta 90.00
_cell_angle_gamma 90.00
loop_
_symmetry_equiv_pos_as_xyz
'x,y,z'
'-x,-y,-z'
'-x+1/2,-y+1/2,z+1/2'
'x+1/2,y+1/2,-z+1/2'
'x+1/2,-y+1/2,-z'
'-x+1/2,y+1/2,z'
'-x,y,-z+1/2'
'x,-y,z+1/2'
loop_
_atom_site_label
_atom_site_type_symbol
_atom_site_fract_x
_atom_site_fract_y
_atom_site_fract_z
_atom_site_occupancy
Ni1 Ni 0.000 0.150 0.250 1
Ni2 Ni 0.125 0.469 0.126 1
Rh1 Rh 0.109 0.179 0.913 1
```

Summary:
As for the total energy: -6.27 eV/atom. The formation enthalpy at 0 K is 0.14 eV/atom. The total magnetic moment is 0.856 μB per atom. As for the energy above the most stable polymorph in this dataset: 0.098 eV/atom.


[7]
## Nd6ZnGa5 (PBE)

Data for crystalline Nd6ZnGa5 at its relaxed geometry.

Cell and atoms, written as CIF:
```
data_Nd6ZnGa5
_chemical_formula_sum 'Nd6 Zn1 Ga5'
_symmetry_space_group_name_H-M 'P 1 2/m 1'
_symmetry_Int_Tables_number 10
_cell_length_a 5.234
_cell_length_b 7.394
_cell_length_c 8.267
_cell_angle_alpha 90.00
_cell_angle_beta 108.33
_cell_angle_gamma 90.00
loop_
_symmetry_equiv_pos_as_xyz
'x,y,z'
'-x,-y,-z'
'-x,y,-z'
'x,-y,z'
loop_
_atom_site_label
_atom_site_type_symbol
_atom_site_fract_x
_atom_site_fract_y
_atom_site_fract_z
_atom_site_occupancy
Nd1 Nd 0.000 0.249 0.000 1
Nd2 Nd 0.333 0.249 0.666 1
Zn1 Zn 0.500 0.000 0.000 1
Ga1 Ga 0.163 0.000 0.327 1
Ga2 Ga 0.167 0.500 0.333 1
Ga3 Ga 0.500 0.500 0.000 1
```

Summary:
As for the total energy: -4.27 eV/atom. The formation enthalpy at 0 K is -0.52 eV/atom. The total magnetic moment is 0.000 μB per atom.


[8]
## ZnCuP2 (PBE)

Data for crystalline ZnCuP2 at its relaxed geometry.

Cell and atoms, written as CIF:
```
data_ZnCuP2
_chemical_formula_sum 'Zn1 Cu1 P2'
_symmetry_space_group_name_H-M 'P m m 2'
_symmetry_Int_Tables_number 25
_cell_length_a 2.570
_cell_length_b 3.760
_cell_length_c 6.625
_cell_angle_alpha 90.00
_cell_angle_beta 90.00
_cell_angle_gamma 90.00
loop_
_symmetry_equiv_pos_as_xyz
'x,y,z'
'-x,-y,z'
'-x,y,z'
'x,-y,z'
loop_
_atom_site_label
_atom_site_type_symbol
_atom_site_fract_x
_atom_site_fract_y
_atom_site_fract_z
_atom_site_occupancy
Zn1 Zn 0.000 0.000 0.000 1
Cu1 Cu 0.500 0.500 0.244 1
P1 P 0.000 0.000 0.387 1
P2 P 0.500 0.500 0.813 1
```

Summary:
As for the total energy: -3.82 eV/atom. The formation enthalpy at 0 K is 0.22 eV/atom. The total magnetic moment is 0.000 μB per atom.


[9]
## YNb (PBE)

Data for crystalline YNb at its relaxed geometry.

Cell and atoms, written as CIF:
```
data_YNb
_chemical_formula_sum 'Y8 Nb8'
_symmetry_space_group_name_H-M 'P n m a'
_symmetry_Int_Tables_number 62
_cell_length_a 7.295
_cell_length_b 5.116
_cell_length_c 10.457
_cell_angle_alpha 90.00
_cell_angle_beta 90.00
_cell_angle_gamma 90.00
loop_
_symmetry_equiv_pos_as_xyz
'x,y,z'
'-x,-y,-z'
'-x+1/2,-y,z+1/2'
'x+1/2,y,-z+1/2'
'x+1/2,-y+1/2,-z+1/2'
'-x+1/2,y+1/2,z+1/2'
'-x,y+1/2,-z'
'x,-y+1/2,z'
loop_
_atom_site_label
_atom_site_type_symbol
_atom_site_fract_x
_atom_site_fract_y
_atom_site_fract_z
_atom_site_occupancy
Y1 Y 0.091 0.250 0.242 1
Y2 Y 0.156 0.750 0.485 1
Nb1 Nb 0.086 0.750 0.039 1
Nb2 Nb 0.157 0.250 0.715 1
```

Summary:
As for the total energy: -7.99 eV/atom. The formation enthalpy at 0 K is 0.28 eV/atom. The total magnetic moment is 0.000 μB per atom. As for the energy above the most stable polymorph in this dataset: 0.160 eV/atom.


[10]
## Zn2Ru2O (PBE)

Data for crystalline Zn2Ru2O at its relaxed geometry.

Cell and atoms, written as CIF:
```
data_Zn2Ru2O
_chemical_formula_sum 'Zn4 Ru4 O2'
_symmetry_space_group_name_H-M 'P 4/m b m'
_symmetry_Int_Tables_number 127
_symmetry_space_group_name_Hall '-P 4 2ab'
_cell_length_a 5.597
_cell_length_b 5.597
_cell_length_c 4.337
_cell_angle_alpha 90.00
_cell_angle_beta 90.00
_cell_angle_gamma 90.00
loop_
_atom_site_label
_atom_site_type_symbol
_atom_site_fract_x
_atom_site_fract_y
_atom_site_fract_z
_atom_site_occupancy
Zn1 Zn 0.154 0.346 0.000 1
Ru1 Ru 0.175 0.675 0.500 1
O1 O 0.000 0.000 0.500 1
```

Summary:
As for the total energy: -5.20 eV/atom. As for the formation energy without anion corrections: 0.012 eV per atom. The total magnetic moment is 0.000 μB per atom. As for the energy above the most stable polymorph in this dataset: 0.000 eV/atom.


[11]
## AcTiSeO6 (PBE)

Data for crystalline AcTiSeO6 at its relaxed geometry.

Cell and atoms, written as CIF:
```
data_AcTiSeO6
_chemical_formula_sum 'Ac1 Ti1 Se1 O6'
_symmetry_space_group_name_H-M 'P 3 1 2'
_symmetry_Int_Tables_number 149
_cell_length_a 5.2066
_cell_length_b 5.2066
_cell_length_c 5.3563
_cell_angle_alpha 90.00
_cell_angle_beta 90.00
_cell_angle_gamma 120.00
loop_
_symmetry_equiv_pos_as_xyz
'x,y,z'
'-y,x-y,z'
'-x+y,-x,z'
'-y,-x,-z'
'-x+y,y,-z'
'x,x-y,-z'
loop_
_atom_site_label
_atom_site_type_symbol
_atom_site_fract_x
_atom_site_fract_y
_atom_site_fract_z
_atom_site_occupancy
Ac1 Ac 0.0000 0.0000 0.0000 1
Ti1 Ti 0.6667 0.3333 0.5000 1
Se1 Se 0.3333 0.6667 0.5000 1
O1 O 0.0067 0.3898 0.7066 1
```

Summary:
As for the total energy: -7.24 eV/atom. As for the formation energy without anion corrections: -2.218 eV per atom. The total magnetic moment is 0.000 μB per atom.


[12]
## LiTaGeRuI (PBE)

Data for crystalline LiTaGeRuI at its relaxed geometry.

Cell and atoms, written as CIF:
```
data_LiTaGeRuI
_chemical_formula_sum 'Li2 Ta2 Ge2 Ru2 I2'
_symmetry_space_group_name_H-M 'C 1 m 1'
_symmetry_Int_Tables_number 8
_cell_length_a 7.228
_cell_length_b 4.083
_cell_length_c 8.625
_cell_angle_alpha 90.00
_cell_angle_beta 113.92
_cell_angle_gamma 90.00
loop_
_symmetry_equiv_pos_as_xyz
'x,y,z'
'x,-y,z'
'x+1/2,y+1/2,z'
'x+1/2,-y+1/2,z'
loop_
_atom_site_label
_atom_site_type_symbol
_atom_site_fract_x
_atom_site_fract_y
_atom_site_fract_z
_atom_site_occupancy
Li1 Li 0.000 0.000 0.000 1
Ta1 Ta 0.331 0.500 0.617 1
Ge1 Ge 0.081 0.500 0.824 1
Ru1 Ru 0.217 0.000 0.756 1
I1 I 0.268 0.000 0.343 1
```

Summary:
As for the total energy: -6.01 eV/atom. As for the formation energy without anion corrections: -0.170 eV per atom. The total magnetic moment is 0.000 μB per atom. As for the energy above the most stable polymorph in this dataset: 0.045 eV/atom.


What is the total magnetic moment in the seventh record?
0.000 μB per atom